Compound: MgMnF4
Source: the Alexandria database
Functional: PBE with a Hubbard U
Structure: relaxed

The calculation puts the density of states at the Fermi level at 0.000 states/eV/f.u. The energy above the most stable polymorph in this dataset is 0.062 eV/atom. For the calculated density, the calculation gives 3.611 g/cm³.

It has space group Cm (No. 8), with a = 7.273 Å, b = 7.221 Å, c = 6.402 Å, α = 90.00°, β = 121.87° and γ = 90.00°. The inequivalent atoms are Mg at (0.000, 0.000, 0.000), Mg at (0.061, 0.500, 0.120), Mn at (0.052, 0.244, 0.562), F at (0.103, 0.219, 0.227), F at (0.176, 0.500, 0.897), F at (0.232, 0.000, 0.890), F at (0.383, 0.292, 0.742), F at (0.389, 0.500, 0.381) and F at (0.479, 0.000, 0.383).